[1]
The following is a GGA-PBE calculation of a relaxed Dy3Zn4Pd4 crystal, from the Alexandria database.

Summary:
* total DFT energy (no corrections): -4.30 eV/atom
* total moment: 0.000 μB/atom

The structure in CIF format:
```
data_Dy3Zn4Pd4
_chemical_formula_sum 'Dy3 Zn4 Pd4'
_cell_length_a 4.037
_cell_length_b 7.404
_cell_length_c 8.223
_cell_angle_alpha 116.76
_cell_angle_beta 104.21
_cell_angle_gamma 90.00
_space_group_name_H-M_alt 'P 1'
_space_group_IT_number 1
loop_
_space_group_symop_operation_xyz
'x,y,z'
loop_
_atom_site_label
_atom_site_fract_x
_atom_site_fract_y
_atom_site_fract_z
_atom_site_occupancy
Dy1 0.126 0.126 0.253 1
Dy2 0.874 0.874 0.747 1
Dy3 0.000 0.500 0.000 1
Zn1 0.327 0.130 0.654 1
Zn2 0.673 0.476 0.346 1
Zn3 0.673 0.870 0.346 1
Zn4 0.327 0.524 0.654 1
Pd1 0.218 0.718 0.435 1
Pd2 0.782 0.282 0.565 1
Pd3 0.500 0.807 0.000 1
Pd4 0.500 0.193 0.000 1
```

---

[2]
The following is a GGA-PBE calculation of a relaxed Y4Sc crystal, from the Alexandria database.

Summary:
* total DFT energy (no corrections): -6.39 eV/atom
* total moment: 0.000 μB/atom
* polymorph energy (0 for the lowest one): 0.000 eV/atom

The structure in CIF format:
```
data_Y4Sc
_chemical_formula_sum 'Y4 Sc1'
_cell_length_a 3.529
_cell_length_b 3.529
_cell_length_c 12.556
_cell_angle_alpha 98.08
_cell_angle_beta 98.08
_cell_angle_gamma 90.00
_space_group_name_H-M_alt 'P 1'
_space_group_IT_number 1
loop_
_space_group_symop_operation_xyz
'x,y,z'
loop_
_atom_site_label
_atom_site_fract_x
_atom_site_fract_y
_atom_site_fract_z
_atom_site_occupancy
Y1 0.594 0.594 0.188 1
Y2 0.198 0.198 0.397 1
Y3 0.802 0.802 0.603 1
Y4 0.406 0.406 0.812 1
Sc1 0.000 0.000 0.000 1
```

---

[3]
The following is a GGA-PBE calculation of a relaxed Mn2CrTc crystal, from the Alexandria database.

Summary:
* total DFT energy (no corrections): -9.36 eV/atom
* total moment: 0.001 μB/atom
* polymorph energy (0 for the lowest one): 0.135 eV/atom

The structure in CIF format:
```
data_Mn2CrTc
_chemical_formula_sum 'Mn2 Cr1 Tc1'
_cell_length_a 8.514
_cell_length_b 8.514
_cell_length_c 8.514
_cell_angle_alpha 17.48
_cell_angle_beta 17.48
_cell_angle_gamma 17.48
_space_group_name_H-M_alt 'P 1'
_space_group_IT_number 1
loop_
_space_group_symop_operation_xyz
'x,y,z'
loop_
_atom_site_label
_atom_site_fract_x
_atom_site_fract_y
_atom_site_fract_z
_atom_site_occupancy
Cr1 0.745 0.745 0.745 1
Mn1 0.999 0.999 0.999 1
Mn2 0.254 0.254 0.254 1
Tc1 0.501 0.501 0.501 1
```

---

[4]
The following is a GGA-PBE calculation of a relaxed BaHfPb2 crystal, from the Alexandria database.

Summary:
* total DFT energy (no corrections): -4.69 eV/atom
* total moment: 0.187 μB/atom
* polymorph energy (0 for the lowest one): 0.000 eV/atom

The structure in CIF format:
```
data_BaHfPb2
_chemical_formula_sum 'Ba1 Hf1 Pb2'
_cell_length_a 5.583
_cell_length_b 5.583
_cell_length_c 5.583
_cell_angle_alpha 60.00
_cell_angle_beta 60.00
_cell_angle_gamma 60.00
_space_group_name_H-M_alt 'P 1'
_space_group_IT_number 1
loop_
_space_group_symop_operation_xyz
'x,y,z'
loop_
_atom_site_label
_atom_site_fract_x
_atom_site_fract_y
_atom_site_fract_z
_atom_site_occupancy
Pb1 0.250 0.250 0.250 1
Pb2 0.750 0.750 0.750 1
Hf1 0.500 0.500 0.500 1
Ba1 0.000 0.000 0.000 1
```

---

[5]
The following is a GGA-PBE calculation of a relaxed Tb2GaNi12H3 crystal, from the Alexandria database.

Summary:
* total DFT energy (no corrections): -5.21 eV/atom
* total moment: 0.000 μB/atom

The structure in CIF format:
```
data_Tb2GaNi12H3
_chemical_formula_sum 'Tb2 Ga1 Ni12 H3'
_cell_length_a 6.870
_cell_length_b 6.870
_cell_length_c 6.870
_cell_angle_alpha 56.63
_cell_angle_beta 56.63
_cell_angle_gamma 56.63
_space_group_name_H-M_alt 'P 1'
_space_group_IT_number 1
loop_
_space_group_symop_operation_xyz
'x,y,z'
loop_
_atom_site_label
_atom_site_fract_x
_atom_site_fract_y
_atom_site_fract_z
_atom_site_occupancy
Tb1 0.598 0.598 0.598 1
Tb2 0.402 0.402 0.402 1
Ga1 0.000 0.000 0.000 1
Ni1 0.278 0.278 0.902 1
Ni2 0.862 0.862 0.453 1
Ni3 0.453 0.862 0.862 1
Ni4 0.902 0.278 0.278 1
Ni5 0.862 0.453 0.862 1
Ni6 0.278 0.902 0.278 1
Ni7 0.722 0.722 0.098 1
Ni8 0.138 0.138 0.547 1
Ni9 0.547 0.138 0.138 1
Ni10 0.098 0.722 0.722 1
Ni11 0.138 0.547 0.138 1
Ni12 0.722 0.098 0.722 1
H1 0.500 0.000 0.000 1
H2 0.000 0.500 0.000 1
H3 0.000 0.000 0.500 1
```

---

[6]
The following is a GGA-PBE calculation of a relaxed Ag4OF crystal, from the Alexandria database.

Summary:
* uncorrected formation energy: -277 meV/atom
* total DFT energy (no corrections): -3.32 eV/atom
* total moment: 0.000 μB/atom
* polymorph energy (0 for the lowest one): 0.037 eV/atom

The structure in CIF format:
```
data_Ag4OF
_chemical_formula_sum 'Ag8 O2 F2'
_cell_length_a 6.881
_cell_length_b 6.881
_cell_length_c 6.881
_cell_angle_alpha 121.14
_cell_angle_beta 121.14
_cell_angle_gamma 88.04
_space_group_name_H-M_alt 'P 1'
_space_group_IT_number 1
loop_
_space_group_symop_operation_xyz
'x,y,z'
loop_
_atom_site_label
_atom_site_fract_x
_atom_site_fract_y
_atom_site_fract_z
_atom_site_occupancy
Ag1 0.272 0.976 0.704 1
Ag2 0.718 0.473 0.755 1
Ag3 0.726 0.522 0.204 1
Ag4 0.223 0.968 0.255 1
Ag5 0.318 0.522 0.796 1
Ag6 0.712 0.968 0.745 1
Ag7 0.718 0.962 0.245 1
Ag8 0.272 0.568 0.296 1
O1 0.849 0.849 0.000 1
O2 0.599 0.099 0.500 1
F1 0.170 0.170 0.000 1
F2 0.920 0.420 0.500 1
```